[1]
The following is a PBE-GGA calculation of HoEr3Zn8 after structural relaxation, from Alexandria.

Computed properties:
The value obtained for the total energy is -32.4 eV for the cell shown. For the formation energy, the calculation gives -32.0 kJ per mole of atoms.

abc: 5.443 5.443 9.379
angles: 73.13 73.13 60.00
Sites, in units of the cell vectors:
Er  0.000  0.000  0.000
Er  0.375  0.375  0.874
Er  0.500  0.500  0.500
Ho  0.875  0.875  0.375
Zn  0.937  0.437  0.688
Zn  0.437  0.937  0.688
Zn  0.188  0.188  0.437
Zn  0.687  0.687  0.938
Zn  0.438  0.938  0.187
Zn  0.938  0.438  0.187
Zn  0.937  0.937  0.688
Zn  0.438  0.438  0.187

=====

[2]
The following is a PBE-GGA calculation of Zr3Hg2 after structural relaxation, from Alexandria.

Computed properties:
The value obtained for the total energy is -54.0 eV for the cell shown. For the formation energy, the calculation gives -14.6 kJ per mole of atoms.

abc: 3.221 3.221 21.251
angles: 90.00 90.00 90.00
Sites, in units of the cell vectors:
Hg  0.500  0.500  0.205
Hg  0.500  0.500  0.599
Hg  0.500  0.500  0.401
Hg  0.500  0.500  0.795
Zr  0.000  0.000  0.896
Zr  0.000  0.000  0.500
Zr  0.000  0.000  0.303
Zr  0.000  0.000  0.104
Zr  0.500  0.500  0.000
Zr  0.000  0.000  0.697

=====

[3]
The following is a PBE-GGA calculation of Dy2Er4TmSc after structural relaxation, from Alexandria.

Computed properties:
The value obtained for the total energy is -38.0 eV for the cell shown. For the formation energy, the calculation gives 3.2 kJ per mole of atoms.

abc: 4.927 4.928 11.002
angles: 63.41 90.00 90.00
Sites, in units of the cell vectors:
Dy  0.000  0.000  0.000
Dy  0.500  0.000  0.500
Er  0.500  0.753  0.246
Er  0.000  0.747  0.754
Er  0.500  0.247  0.754
Er  0.000  0.253  0.246
Tm  0.000  0.500  0.500
Sc  0.500  0.500  0.000

=====

[4]
The following is a PBE-GGA calculation of Th2NbReN6 after structural relaxation, from Alexandria.

Computed properties:
The calculation puts the uncorrected formation energy at -0.944 eV/atom. The value obtained for the total energy is -96.7 eV for the cell shown.

abc: 4.738 5.539 5.539
angles: 90.00 90.00 90.00
Sites, in units of the cell vectors:
N  0.722  0.245  0.245
N  0.722  0.755  0.755
N  0.722  0.755  0.245
N  0.722  0.245  0.755
N  0.187  0.500  0.500
N  0.203  0.000  0.000
Nb  0.587  0.500  0.500
Th  0.002  0.000  0.500
Th  0.002  0.500  0.000
Re  0.578  0.000  0.000